Record 1
# YSc5

A geometry-optimized YSc5 structure (PBEsol, Alexandria via LeMat-Bulk).

Calculated values
The space group is P-62m. The calculation puts the formation energy at 0.02 eV per atom.

Geometry as POSCAR:
```
YSc5
1.0
5.764 0.000 0.000
-2.882 4.992 0.000
0.000 0.000 5.150
Y Sc
1 5
direct
0.000 0.000 0.000
0.000 0.341 0.500
0.333 0.667 0.000
0.341 0.000 0.500
0.659 0.659 0.500
0.667 0.333 0.000
```

***

Record 2
# YSc

A geometry-optimized YSc structure (PBEsol, Alexandria via LeMat-Bulk).

Calculated values
The space group is R-3m. The calculation puts the formation energy at 0.07 eV per atom.

Geometry as POSCAR:
```
YSc
1.0
1.687 0.974 5.422
-1.687 0.974 5.422
0.000 -1.948 5.422
Y Sc
1 1
direct
0.000 0.000 0.000
0.500 0.500 0.500
```

***

Record 3
# YSc

A geometry-optimized YSc structure (PBEsol, Alexandria via LeMat-Bulk).

Calculated values
The space group is Pm-3m. The calculation puts the formation energy at 0.10 eV per atom.

Geometry as POSCAR:
```
YSc
1.0
3.776 0.000 0.000
0.000 3.776 0.000
0.000 0.000 3.776
Y Sc
1 1
direct
0.000 0.000 0.000
0.500 0.500 0.500
```

***

Record 4
# Y4ScZn

A geometry-optimized Y4ScZn structure (PBEsol, Alexandria via LeMat-Bulk).

Calculated values
The space group is F-43m. The calculation puts the formation energy at 0.43 eV per atom.

Geometry as POSCAR:
```
Y4ScZn
1.0
0.000 4.379 4.379
4.379 0.000 4.379
4.379 4.379 0.000
Y Sc Zn
4 1 1
direct
0.125 0.125 0.125
0.125 0.125 0.626
0.125 0.626 0.125
0.626 0.125 0.125
0.750 0.750 0.750
0.500 0.500 0.500
```

***

Record 5
# YScZn

A geometry-optimized YScZn structure (PBEsol, Alexandria via LeMat-Bulk).

Calculated values
The space group is Pnma. The calculation puts the formation energy at -0.26 eV per atom.

Geometry as POSCAR:
```
YScZn
1.0
6.209 0.000 0.000
0.000 4.899 0.000
0.000 0.000 8.730
Y Sc Zn
4 4 4
direct
0.180 0.250 0.079
0.320 0.750 0.579
0.680 0.250 0.421
0.820 0.750 0.921
0.013 0.250 0.701
0.487 0.750 0.201
0.513 0.250 0.799
0.987 0.750 0.299
0.207 0.250 0.406
0.293 0.750 0.906
0.707 0.250 0.094
0.793 0.750 0.594
```

***

Record 6
# YScZn

A geometry-optimized YScZn structure (PBEsol, Alexandria via LeMat-Bulk).

Calculated values
The space group is I4mm. The calculation puts the formation energy at -0.21 eV per atom.

Geometry as POSCAR:
```
YScZn
1.0
-1.699 1.699 5.830
1.699 -1.699 5.830
1.699 1.699 -5.830
Y Sc Zn
1 1 1
direct
0.000 0.000 0.000
0.289 0.289 0.000
0.662 0.662 0.000
```

***

Record 7
# Y2ScZn

A geometry-optimized Y2ScZn structure (PBEsol, Alexandria via LeMat-Bulk).

Calculated values
The space group is Imm2. The calculation puts the formation energy at -0.17 eV per atom.

Geometry as POSCAR:
```
Y2ScZn
1.0
-1.768 2.533 5.456
1.768 -2.533 5.456
1.768 2.533 -5.456
Y Sc Zn
2 1 1
direct
0.000 0.000 0.000
0.715 0.215 0.500
0.426 0.426 0.000
0.227 0.727 0.500
```

***

Record 8
# YScZn3

A geometry-optimized YScZn3 structure (PBEsol, Alexandria via LeMat-Bulk).

Calculated values
The space group is Pm-3m. The calculation puts the formation energy at 0.44 eV per atom.

Geometry as POSCAR:
```
YScZn3
1.0
4.865 0.000 0.000
0.000 4.865 0.000
0.000 0.000 4.865
Y Sc Zn
1 1 3
direct
0.000 0.000 0.000
0.500 0.500 0.500
0.000 0.500 0.500
0.500 0.000 0.500
0.500 0.500 0.000
```

***

Repeat the fourth record exactly.
# Y4ScZn

A geometry-optimized Y4ScZn structure (PBEsol, Alexandria via LeMat-Bulk).

Calculated values
The space group is F-43m. The calculation puts the formation energy at 0.43 eV per atom.

Geometry as POSCAR:
```
Y4ScZn
1.0
0.000 4.379 4.379
4.379 0.000 4.379
4.379 4.379 0.000
Y Sc Zn
4 1 1
direct
0.125 0.125 0.125
0.125 0.125 0.626
0.125 0.626 0.125
0.626 0.125 0.125
0.750 0.750 0.750
0.500 0.500 0.500
```